[1]
Below is crystalline PuGa3Co at its relaxed geometry, with properties calculated at the GGA-PBE level.

The structure in CIF format:
```
data_PuGa3Co
_space_group_name_H-M_alt 'P m -3 m'
_space_group_IT_number 221
_space_group_name_Hall '-P 4 2 3'
_cell_length_a 4.542
_cell_length_b 4.542
_cell_length_c 4.542
_cell_angle_alpha 90.00
_cell_angle_beta 90.00
_cell_angle_gamma 90.00
loop_
_atom_site_label
_atom_site_type_symbol
_atom_site_fract_x
_atom_site_fract_y
_atom_site_fract_z
Pu1 Pu 0.000 0.000 0.000
Ga1 Ga 0.000 0.500 0.500
Co1 Co 0.500 0.500 0.500
```

Computed properties:
**ΔE to the lowest computed polymorph**: 82 meV/atom
**ΔE_f**: -26.38 kJ per mole of atoms
**M_tot**: 6.21 μB per cell

---

[2]
Below is crystalline InBiPb at its relaxed geometry, with properties calculated at the GGA-PBE level.

The structure in CIF format:
```
data_InBiPb
_space_group_name_H-M_alt 'P 1 21/c 1'
_space_group_IT_number 14
_space_group_name_Hall '-P 2ybc'
_cell_length_a 8.042
_cell_length_b 6.641
_cell_length_c 7.139
_cell_angle_alpha 90.00
_cell_angle_beta 99.38
_cell_angle_gamma 90.00
loop_
_atom_site_label
_atom_site_type_symbol
_atom_site_fract_x
_atom_site_fract_y
_atom_site_fract_z
In1 In 0.141 0.029 0.380
Bi1 Bi 0.199 0.517 0.436
Pb1 Pb 0.489 0.174 0.678
```

Computed properties:
**ΔE to the lowest computed polymorph**: 6 meV/atom
**ΔE_f**: 2.63 kJ per mole of atoms
**M_tot**: 0.00 μB per cell